[1]
# Zr2CdSbOs PBE relaxed
# Symmetry: P4/mmm (123)
# Electronic total energy (eV per atom): -5.192
data_Zr2CdSbOs
_chemical_formula_sum 'Zr2 Cd1 Sb1 Os1'
_symmetry_space_group_name_H-M 'P 1'
_symmetry_Int_Tables_number 1
_symmetry_space_group_name_Hall 'P 1'
_cell_length_a 5.267
_cell_length_b 4.958
_cell_length_c 5.267
_cell_angle_alpha 90.00
_cell_angle_beta 90.00
_cell_angle_gamma 90.00
loop_
_atom_site_label
_atom_site_type_symbol
_atom_site_fract_x
_atom_site_fract_y
_atom_site_fract_z
Sb1 Sb 0.000 0.000 0.000
Os1 Os 0.500 0.500 0.500
Zr1 Zr 0.000 0.000 0.500
Zr2 Zr 0.500 0.000 0.000
Cd1 Cd 0.000 0.500 0.000

[2]
# La6PmCd PBE relaxed
# Calculated formation energy (eV per atom): -0.058
# Symmetry: P4/mmm (123)
# Polymorph energy (0 for the lowest one) (eV/atom): 0.000
data_La6PmCd
_chemical_formula_sum 'La6 Pm1 Cd1'
_symmetry_space_group_name_H-M 'P 1'
_symmetry_Int_Tables_number 1
_symmetry_space_group_name_Hall 'P 1'
_cell_length_a 5.150
_cell_length_b 5.150
_cell_length_c 10.353
_cell_angle_alpha 90.00
_cell_angle_beta 90.00
_cell_angle_gamma 90.00
loop_
_atom_site_label
_atom_site_type_symbol
_atom_site_fract_x
_atom_site_fract_y
_atom_site_fract_z
La1 La 0.500 0.500 0.000
La2 La 0.500 0.500 0.500
La3 La 0.500 0.000 0.254
La4 La 0.500 0.000 0.746
La5 La 0.000 0.500 0.254
La6 La 0.000 0.500 0.746
Pm1 Pm 0.000 0.000 0.000
Cd1 Cd 0.000 0.000 0.500

[3]
# KMo2Os PBE relaxed
# Calculated formation energy (eV per atom): 1.704
# Symmetry: I-42d (122)
# Polymorph energy (0 for the lowest one) (eV/atom): 0.930
data_KMo2Os
_chemical_formula_sum 'K2 Mo4 Os2'
_symmetry_space_group_name_H-M 'P 1'
_symmetry_Int_Tables_number 1
_symmetry_space_group_name_Hall 'P 1'
_cell_length_a 5.033
_cell_length_b 5.033
_cell_length_c 9.301
_cell_angle_alpha 74.30
_cell_angle_beta 74.30
_cell_angle_gamma 90.00
loop_
_atom_site_label
_atom_site_type_symbol
_atom_site_fract_x
_atom_site_fract_y
_atom_site_fract_z
Mo1 Mo 0.857 0.125 0.250
Mo2 Mo 0.893 0.625 0.250
Mo3 Mo 0.375 0.143 0.750
Mo4 Mo 0.875 0.107 0.750
Os1 Os 0.000 0.000 0.000
Os2 Os 0.750 0.250 0.500
K1 K 0.500 0.500 0.000
K2 K 0.250 0.750 0.500

[4]
# YNb2Cl PBE relaxed
# Symmetry: I-42d (122)
# Polymorph energy (0 for the lowest one) (eV/atom): 0.000
data_YNb2Cl
_chemical_formula_sum 'Y2 Nb4 Cl2'
_symmetry_space_group_name_H-M 'P 1'
_symmetry_Int_Tables_number 1
_symmetry_space_group_name_Hall 'P 1'
_cell_length_a 3.827
_cell_length_b 3.827
_cell_length_c 12.378
_cell_angle_alpha 81.11
_cell_angle_beta 81.11
_cell_angle_gamma 90.00
loop_
_atom_site_label
_atom_site_type_symbol
_atom_site_fract_x
_atom_site_fract_y
_atom_site_fract_z
Y1 Y 0.000 0.000 0.000
Y2 Y 0.750 0.250 0.500
Nb1 Nb 0.633 0.125 0.250
Nb2 Nb 0.117 0.625 0.250
Nb3 Nb 0.375 0.367 0.750
Nb4 Nb 0.875 0.883 0.750
Cl1 Cl 0.500 0.500 0.000
Cl2 Cl 0.250 0.750 0.500

Q: Which formula does entry 4 have?
A: YNb2Cl